[1]
Computed, not measured: a relaxed structure of BaIn2Hg4 at the PBE-GGA level of DFT.

## Properties
space-group type: No. 71
ΔE_f: -0.22 eV per atom

Cell: 5.0542 4.1625 10.3676 Å, 101.58 104.11 90.00°
Last column: nearest neighbours and their distance in Å.
Positions (direct):
Hg 0.6599 0.6599 0.3198  1 In 2.91, 2 Hg 3.01
Hg 0.3401 0.3401 0.6802  1 In 2.91, 2 Hg 3.01
In 0.1923 0.1923 0.3845  3 Hg 2.91-3.09
Ba 0.5000 0.0000 0.0000  12 Hg 3.60-3.77
Hg 0.9236 0.4236 0.8472  3 Hg 3.01, 2 In 3.09
Hg 0.0764 0.5764 0.1528  3 Hg 3.01, 2 In 3.09
In 0.8077 0.8077 0.6155  3 Hg 2.91-3.09

=====

[2]
Computed, not measured: a relaxed structure of Rh3WS at the PBE-GGA level of DFT.

## Properties
ΔE_f (raw): 349 kJ/mol of formula units
space-group type: No. 221

Cell: 4.3579 4.3579 4.3579 Å, 90.00 90.00 90.00°
Last column: nearest neighbours and their distance in Å.
Positions (direct):
S 0.0000 0.0000 0.0000  6 Rh 2.18
Rh 0.5000 0.0000 0.0000  2 S 2.18
W 0.5000 0.5000 0.5000  12 Rh 3.08
Rh 0.0000 0.0000 0.5000  2 S 2.18
Rh 0.0000 0.5000 0.0000  2 S 2.18

=====

[3]
Computed, not measured: a relaxed structure of LuPuC at the PBE-GGA level of DFT.

## Properties
space-group type: No. 216
ΔE_f: 0.28 eV per atom

Cell: 4.2704 4.2704 4.2704 Å, 60.00 60.00 60.00°
Last column: nearest neighbours and their distance in Å.
Positions (direct):
Pu 0.5000 0.5000 0.5000  4 C 2.62
C 0.2500 0.2500 0.2500  4 Pu 2.62, 4 Lu 2.62
Lu 0.0000 0.0000 0.0000  4 C 2.62

=====

[4]
Computed, not measured: a relaxed structure of Ga4CuAg5 at the PBE-GGA level of DFT.

## Properties
space-group type: No. 12
ΔE_f: 0.04 eV per atom

Cell: 2.9624 8.4672 7.2232 Å, 85.11 101.83 90.00°
Last column: nearest neighbours and their distance in Å.
Positions (direct):
Ag 0.8143 0.5916 0.6287  1 Ga 2.70, 7 Ag 2.90-3.00
Cu 0.5000 0.0000 0.0000  6 Ga 2.54-2.69
Ag 0.5000 0.5000 0.0000  4 Ga 2.73, 6 Ag 2.96-3.05
Ga 0.0362 0.2303 0.0725  2 Cu 2.54, 4 Ag 2.67-2.73, 2 Ga 2.74
Ag 0.1527 0.7637 0.3053  2 Ga 2.67-2.81, 2 Ag 2.96
Ag 0.1857 0.4084 0.3713  1 Ga 2.70, 7 Ag 2.90-3.00
Ga 0.3200 0.9195 0.6400  1 Cu 2.69, 6 Ga 2.74-2.96, 1 Ag 2.81
Ga 0.9638 0.7697 0.9275  2 Cu 2.54, 4 Ag 2.67-2.73, 2 Ga 2.74
Ga 0.6800 0.0805 0.3600  1 Cu 2.69, 6 Ga 2.74-2.96, 1 Ag 2.81
Ag 0.8473 0.2363 0.6947  2 Ga 2.67-2.81, 2 Ag 2.96

=====

[5]
Computed, not measured: a relaxed structure of Y5Re at the PBE-GGA level of DFT.

## Properties
space-group type: No. 12
ΔE_f: 0.08 eV per atom

Cell: 6.4173 6.4173 8.4010 Å, 69.08 69.08 32.64°
Last column: nearest neighbours and their distance in Å.
Positions (direct):
Y 0.1329 0.1329 0.6328  2 Re 2.92
Y 0.1584 0.1584 0.2211  2 Re 3.02, 2 Y 3.33-3.36
Re 0.5000 0.5000 0.5000  8 Y 2.92-3.02
Y 0.5000 0.5000 0.0000  10 Y 3.42-3.63
Y 0.8416 0.8416 0.7789  2 Re 3.02, 2 Y 3.33-3.36
Y 0.8671 0.8671 0.3672  2 Re 2.92

=====

[6]
Computed, not measured: a relaxed structure of Cu12Se3I5 at the PBE-GGA level of DFT.

## Properties
ΔE_f (raw): 157 kJ/mol of formula units
space-group type: No. 230

Cell: 13.1475 13.1475 13.1475 Å, 109.47 109.47 109.47°
Last column: nearest neighbours and their distance in Å.
Positions (direct):
I 0.7500 0.1250 0.8750  4 Cu 2.74
Cu 0.0863 0.4323 0.8488  1 Cu 2.39, 1 Se 2.54, 1 I 2.65
Cu 0.6540 0.5677 0.9165  1 Cu 2.39, 1 Se 2.54, 1 I 2.65
I 0.3750 0.2500 0.1250  4 Cu 2.74
Cu 0.9165 0.8488 0.7625  1 Cu 2.39, 1 Se 2.54, 1 I 2.65
Se 0.1250 0.8750 0.7500  8 Cu 2.54-2.71
Cu 0.9323 0.8488 0.5863  1 Cu 2.39, 1 Se 2.54, 1 I 2.65
Cu 0.3460 0.9137 0.7625  1 Cu 2.39, 1 Se 2.54, 1 I 2.65
I 0.2500 0.3750 0.6250  4 Cu 2.74
Se 0.7500 0.8750 0.6250  8 Cu 2.54-2.71
Cu 0.3460 0.4323 0.0835  1 Cu 2.39, 1 Se 2.54, 1 I 2.65
Cu 0.1512 0.0677 0.9137  1 Cu 2.39, 1 Se 2.54, 1 I 2.65
Cu 0.5677 0.6540 0.4165  1 Cu 2.39, 1 Se 2.54, 1 I 2.65
Cu 0.0835 0.1512 0.2375  1 Cu 2.39, 1 Se 2.54, 1 I 2.65
I 0.5000 0.5000 0.5000  6 Cu 2.65
Cu 0.9137 0.3460 0.2625  1 Cu 2.39, 1 Se 2.54, 1 I 2.65
I 0.0000 0.0000 0.5000  6 Cu 2.65
Cu 0.2625 0.4165 0.8488  1 Cu 2.39, 1 Se 2.54, 1 I 2.65
I 0.0000 0.0000 0.0000  6 Cu 2.65
I 0.0000 0.5000 0.5000  6 Cu 2.65
I 0.8750 0.6250 0.7500  4 Cu 2.74
Cu 0.4323 0.0863 0.3488  1 Cu 2.39, 1 Se 2.54, 1 I 2.65
Cu 0.7375 0.1540 0.0863  1 Cu 2.39, 1 Se 2.54, 1 I 2.65
Cu 0.7625 0.4137 0.3460  1 Cu 2.39, 1 Se 2.54, 1 I 2.65
Se 0.3750 0.6250 0.2500  8 Cu 2.54-2.71
I 0.1250 0.7500 0.3750  4 Cu 2.74
I 0.6250 0.8750 0.2500  4 Cu 2.74
Se 0.6250 0.2500 0.3750  8 Cu 2.54-2.71
Cu 0.4137 0.7625 0.8460  1 Cu 2.39, 1 Se 2.54, 1 I 2.65
Cu 0.9137 0.5677 0.1512  1 Cu 2.39, 1 Se 2.54, 1 I 2.65
Se 0.8750 0.7500 0.1250  8 Cu 2.54-2.71
Cu 0.8488 0.9165 0.2625  1 Cu 2.39, 1 Se 2.54, 1 I 2.65
Cu 0.3488 0.5863 0.4323  1 Cu 2.39, 1 Se 2.54, 1 I 2.65
Cu 0.8460 0.2625 0.4137  1 Cu 2.39, 1 Se 2.54, 1 I 2.65
I 0.7500 0.6250 0.3750  4 Cu 2.74
Se 0.1250 0.2500 0.8750  8 Cu 2.54-2.71
Cu 0.7625 0.3488 0.9165  1 Cu 2.39, 1 Se 2.54, 1 I 2.65
Cu 0.2625 0.8460 0.9137  1 Cu 2.39, 1 Se 2.54, 1 I 2.65
I 0.5000 0.5000 0.0000  6 Cu 2.65
Cu 0.6540 0.0863 0.2375  1 Cu 2.39, 1 Se 2.54, 1 I 2.65
Cu 0.0863 0.6540 0.7375  1 Cu 2.39, 1 Se 2.54, 1 I 2.65
Cu 0.4165 0.2625 0.3488  1 Cu 2.39, 1 Se 2.54, 1 I 2.65
Cu 0.6512 0.4137 0.5677  1 Cu 2.39, 1 Se 2.54, 1 I 2.65
Cu 0.5835 0.7375 0.6512  1 Cu 2.39, 1 Se 2.54, 1 I 2.65
Cu 0.3488 0.7625 0.4165  1 Cu 2.39, 1 Se 2.54, 1 I 2.65
Cu 0.7375 0.5835 0.1512  1 Cu 2.39, 1 Se 2.54, 1 I 2.65
Cu 0.8460 0.5835 0.9323  1 Cu 2.39, 1 Se 2.54, 1 I 2.65
Cu 0.5835 0.8460 0.4323  1 Cu 2.39, 1 Se 2.54, 1 I 2.65
Cu 0.5863 0.2375 0.1540  1 Cu 2.39, 1 Se 2.54, 1 I 2.65
Cu 0.0677 0.1512 0.4137  1 Cu 2.39, 1 Se 2.54, 1 I 2.65
Cu 0.0677 0.9165 0.1540  1 Cu 2.39, 1 Se 2.54, 1 I 2.65
I 0.2500 0.8750 0.1250  4 Cu 2.74
Cu 0.2375 0.5863 0.6540  1 Cu 2.39, 1 Se 2.54, 1 I 2.65
Cu 0.4323 0.3460 0.5835  1 Cu 2.39, 1 Se 2.54, 1 I 2.65
Se 0.8750 0.1250 0.2500  8 Cu 2.54-2.71
I 0.0000 0.5000 0.0000  6 Cu 2.65
I 0.8750 0.2500 0.6250  4 Cu 2.74
Cu 0.9323 0.0835 0.8460  1 Cu 2.39, 1 Se 2.54, 1 I 2.65
Cu 0.1540 0.7375 0.5863  1 Cu 2.39, 1 Se 2.54, 1 I 2.65
Se 0.3750 0.7500 0.6250  8 Cu 2.54-2.71
I 0.6250 0.7500 0.8750  4 Cu 2.74
Cu 0.5863 0.3488 0.9323  1 Cu 2.39, 1 Se 2.54, 1 I 2.65
Cu 0.2375 0.6512 0.0835  1 Cu 2.39, 1 Se 2.54, 1 I 2.65
Cu 0.6512 0.2375 0.5835  1 Cu 2.39, 1 Se 2.54, 1 I 2.65
Se 0.7500 0.3750 0.1250  8 Cu 2.54-2.71
Cu 0.1540 0.4165 0.0677  1 Cu 2.39, 1 Se 2.54, 1 I 2.65
Cu 0.8488 0.9323 0.0863  1 Cu 2.39, 1 Se 2.54, 1 I 2.65
I 0.1250 0.3750 0.2500  4 Cu 2.74
I 0.5000 0.0000 0.0000  6 Cu 2.65
Cu 0.4165 0.1540 0.5677  1 Cu 2.39, 1 Se 2.54, 1 I 2.65
Cu 0.1512 0.0835 0.7375  1 Cu 2.39, 1 Se 2.54, 1 I 2.65
I 0.3750 0.1250 0.7500  4 Cu 2.74
Cu 0.4137 0.6512 0.0677  1 Cu 2.39, 1 Se 2.54, 1 I 2.65
I 0.5000 0.0000 0.5000  6 Cu 2.65
Se 0.2500 0.1250 0.3750  8 Cu 2.54-2.71
Se 0.2500 0.6250 0.8750  8 Cu 2.54-2.71
Se 0.6250 0.3750 0.7500  8 Cu 2.54-2.71
Cu 0.5677 0.9137 0.6512  1 Cu 2.39, 1 Se 2.54, 1 I 2.65
Cu 0.0835 0.9323 0.3460  1 Cu 2.39, 1 Se 2.54, 1 I 2.65
Cu 0.9165 0.0677 0.6540  1 Cu 2.39, 1 Se 2.54, 1 I 2.65